No. 1
Entry from Alexandria via LeMat-Bulk: an optimized crystal structure of Tb3Pr3Nd8 (PBE).

Values from the calculation:
- M_tot (μB per atom) = 0.000
- formation energy (eV/atom) = 0.110
- ρ (Mg/m³) = 7.0
- VASP energy (eV per atom) = -4.630

```
data_Tb3Pr3Nd8
_space_group_name_H-M_alt 'I m m m'
_space_group_IT_number 71
_space_group_name_Hall '-I 2 2'
_cell_length_a 5.753
_cell_length_b 10.988
_cell_length_c 15.508
_cell_angle_alpha 90.00
_cell_angle_beta 90.00
_cell_angle_gamma 90.00
loop_
_atom_site_label
_atom_site_type_symbol
_atom_site_fract_x
_atom_site_fract_y
_atom_site_fract_z
_atom_site_occupancy
Tb1 Tb 0.000 0.000 0.000 1
Tb2 Tb 0.000 0.500 0.316 1
Pr1 Pr 0.000 0.000 0.500 1
Pr2 Pr 0.000 0.308 0.500 1
Nd1 Nd 0.000 0.158 0.275 1
Nd2 Nd 0.000 0.337 0.104 1
```

No. 2
Entry from Alexandria via LeMat-Bulk: an optimized crystal structure of NbGeAs2 (PBE).

Values from the calculation:
- M_tot (μB per atom) = 0.000
- formation energy (eV/atom) = -0.163
- ρ (Mg/m³) = 7.3
- VASP energy (eV per atom) = -6.160

```
data_NbGeAs2
_space_group_name_H-M_alt 'P 1'
_space_group_IT_number 1
_cell_length_a 5.158
_cell_length_b 5.216
_cell_length_c 5.557
_cell_angle_alpha 89.96
_cell_angle_beta 89.42
_cell_angle_gamma 75.01
loop_
_space_group_symop_operation_xyz
'x,y,z'
loop_
_atom_site_label
_atom_site_type_symbol
_atom_site_fract_x
_atom_site_fract_y
_atom_site_fract_z
_atom_site_occupancy
Nb1 Nb 0.000 0.000 0.000 1
Nb2 Nb 0.223 0.231 0.492 1
Ge1 Ge 0.363 0.664 0.720 1
Ge2 Ge 0.365 0.652 0.252 1
As1 As 0.443 0.180 0.988 1
As2 As 0.781 0.058 0.484 1
As3 As 0.864 0.603 0.727 1
As4 As 0.874 0.546 0.196 1
```

No. 3
Entry from Alexandria via LeMat-Bulk: an optimized crystal structure of Rb2YAlI6 (PBE).

Values from the calculation:
- E_form (uncorrected) (eV per atom) = -1.1272
- M_tot (μB per atom) = 0.000
- ρ (Mg/m³) = 3.6
- VASP energy (eV per atom) = -3.271

```
data_Rb2YAlI6
_space_group_name_H-M_alt 'F m -3 m'
_space_group_IT_number 225
_space_group_name_Hall '-F 4 2 3'
_cell_length_a 12.412
_cell_length_b 12.412
_cell_length_c 12.412
_cell_angle_alpha 90.00
_cell_angle_beta 90.00
_cell_angle_gamma 90.00
loop_
_atom_site_label
_atom_site_type_symbol
_atom_site_fract_x
_atom_site_fract_y
_atom_site_fract_z
_atom_site_occupancy
Rb1 Rb 0.250 0.250 0.250 1
Y1 Y 0.000 0.000 0.000 1
Al1 Al 0.000 0.000 0.500 1
I1 I 0.000 0.000 0.244 1
```

No. 4
Entry from Alexandria via LeMat-Bulk: an optimized crystal structure of FeWSe (PBE).

Values from the calculation:
- E_form (uncorrected) (eV per atom) = 0.3277
- M_tot (μB per atom) = 0.712
- distance to the lowest polymorph of the same formula (meV per atom) = 0
- ρ (Mg/m³) = 10.9
- VASP energy (eV per atom) = -7.972

```
data_FeWSe
_space_group_name_H-M_alt 'A m m 2'
_space_group_IT_number 38
_cell_length_a 11.741
_cell_length_b 3.068
_cell_length_c 5.388
_cell_angle_alpha 90.00
_cell_angle_beta 90.00
_cell_angle_gamma 90.00
loop_
_space_group_symop_operation_xyz
'x,y,z'
'-x,-y,z'
'-x,y,z'
'x,-y,z'
'x,y+1/2,z+1/2'
'-x,-y+1/2,z+1/2'
'-x,y+1/2,z+1/2'
'x,-y+1/2,z+1/2'
loop_
_atom_site_label
_atom_site_type_symbol
_atom_site_fract_x
_atom_site_fract_y
_atom_site_fract_z
_atom_site_occupancy
Fe1 Fe 0.157 0.000 0.000 1
W1 W 0.000 0.000 0.668 1
W2 W 0.500 0.000 0.801 1
Se1 Se 0.344 0.000 0.474 1
```

No. 5
Entry from Alexandria via LeMat-Bulk: an optimized crystal structure of PRuSe2 (PBE).

Values from the calculation:
- E_form (uncorrected) (eV per atom) = 0.6113
- M_tot (μB per atom) = 0.000
- ρ (Mg/m³) = 7.4
- VASP energy (eV per atom) = -4.802

```
data_PRuSe2
_space_group_name_H-M_alt 'F -4 3 m'
_space_group_IT_number 216
_space_group_name_Hall 'F -4 2 3'
_cell_length_a 6.381
_cell_length_b 6.381
_cell_length_c 6.381
_cell_angle_alpha 90.00
_cell_angle_beta 90.00
_cell_angle_gamma 90.00
loop_
_atom_site_label
_atom_site_type_symbol
_atom_site_fract_x
_atom_site_fract_y
_atom_site_fract_z
_atom_site_occupancy
P1 P 0.000 0.000 0.000 1
Ru1 Ru 0.250 0.250 0.250 1
Se1 Se 0.000 0.000 0.500 1
Se2 Se 0.250 0.250 0.750 1
```

No. 6
Entry from Alexandria via LeMat-Bulk: an optimized crystal structure of LaNi (PBE).

Values from the calculation:
- M_tot (μB per atom) = 0.000
- formation energy (eV/atom) = 0.185
- ρ (Mg/m³) = 4.7
- VASP energy (eV per atom) = -5.169

```
data_LaNi
_space_group_name_H-M_alt 'I -4 3 m'
_space_group_IT_number 217
_space_group_name_Hall 'I -4 2 3'
_cell_length_a 8.218
_cell_length_b 8.218
_cell_length_c 8.218
_cell_angle_alpha 90.00
_cell_angle_beta 90.00
_cell_angle_gamma 90.00
loop_
_atom_site_label
_atom_site_type_symbol
_atom_site_fract_x
_atom_site_fract_y
_atom_site_fract_z
_atom_site_occupancy
La1 La 0.201 0.201 0.799 1
Ni1 Ni 0.109 0.109 0.109 1
```

Number 4 is which compound?
FeWSe

Number 3 is which compound?
Rb2YAlI6